Below is a relaxed LaYSc2 crystal, with properties calculated at the PBE level.

The structure in POSCAR format:
```
LaYSc2
1.0
1.871 -2.789 0.000
1.871 2.789 0.000
0.000 0.000 11.279
La Y Sc
1 1 2
Direct
0.000 0.000 0.000
0.500 0.500 0.285
0.000 0.000 0.524
0.500 0.500 0.744
```

**Formation energy from the elements**: 140 meV per atom
**Energy**: -5.8733 eV per atom
**Energy above the lowest structure with this stoichiometry**: 89 meV/atom
**Total magnetization**: 0.0 μB/f.u.